First-principles (PBE+U) data for an optimized crystal structure of RbTaVO4, as listed in Alexandria via LeMat-Bulk.

Lattice parameters (Å, degrees): 5.682 5.859 7.954 90.00 105.17 90.00
Positions (direct):
1 Rb 0.078 0.250 0.131
2 Rb 0.922 0.750 0.869
3 Ta 0.394 0.250 0.650
4 Ta 0.606 0.750 0.350
5 V 0.151 0.750 0.468
6 V 0.849 0.250 0.532
7 O 0.173 0.013 0.664
8 O 0.173 0.487 0.664
9 O 0.284 0.750 0.208
10 O 0.452 0.250 0.431
11 O 0.548 0.750 0.569
12 O 0.716 0.250 0.792
13 O 0.827 0.513 0.336
14 O 0.827 0.987 0.336

Energy   -7.86 eV/atom